# Ca2ReAg GGA-PBE relaxed
# Formation energy: 0.910 eV/atom
# Uncorrected energy: -3.916 eV/atom
# Size of the total moment: 1.90 μB/f.u.
data_Ca2ReAg
_space_group_name_H-M_alt 'I -4 2 d'
_space_group_IT_number 122
_space_group_name_Hall 'I -4 2bw'
_cell_length_a 7.9725
_cell_length_b 7.9725
_cell_length_c 6.0573
_cell_angle_alpha 90.00
_cell_angle_beta 90.00
_cell_angle_gamma 90.00
loop_
_atom_site_label
_atom_site_type_symbol
_atom_site_fract_x
_atom_site_fract_y
_atom_site_fract_z
Ca1 Ca 0.2457 0.2500 0.1250
Re1 Re 0.0000 0.0000 0.5000
Ag1 Ag 0.0000 0.0000 0.0000